ZnSiAs2Se: relaxed, PBEsol.

Total magnetization: 0.002 μB/cell
ΔE to the lowest computed polymorph: 0 meV per atom
Formation energy (no corrections): 3.06 eV/f.u.

Geometry as extended XYZ:
```
5
Lattice="-1.250 -2.197 4.037 0.354 -4.186 -2.168 4.548 -0.270 1.262" Properties=species:S:1:pos:R:3 pbc="T T T"
Zn 1.825 -3.326 1.565
As 0.177 -2.093 -1.084
As 2.274 -0.135 0.631
Se -0.625 -1.098 2.018
Si 0.000 0.000 0.000
```